An optimized crystal structure of LiScW, computed with PBE.

CIF file:
```
data_LiScW
_cell_length_a 2.767
_cell_length_b 2.767
_cell_length_c 14.427
_cell_angle_alpha 90.00
_cell_angle_beta 90.00
_cell_angle_gamma 90.00
_space_group_name_H-M_alt 'I 4 m m'
_space_group_IT_number 107
_space_group_name_Hall 'I 4 -2'
loop_
_atom_site_label
_atom_site_fract_x
_atom_site_fract_y
_atom_site_fract_z
Li1 0.000 0.000 0.000
Sc1 0.000 0.000 0.311
W1 0.000 0.000 0.658
```

E_tot = -6.703 eV per atom
formation enthalpy at 0 K = 363 meV per atom
energy relative to the lowest polymorph listed for this composition = 4 kJ/mol of formula units